## CaAgCl2 (meta-GGA SCAN)

Data for CaAgCl2 at its PBEsol-relaxed geometry. Values from VASP.

Properties
The calculation puts the density of states at the Fermi level at 3.5 states/eV/f.u. The calculation puts the energy above the lowest structure with this stoichiometry at 23 meV/atom. Its formation energy without anion corrections is -1232.7 meV per atom.

```
&SYSTEM
  ibrav = 0, nat = 4, ntyp = 3
/
ATOMIC_SPECIES
Ca 40.08 Ca.upf
Ag 107.87 Ag.upf
Cl 35.45 Cl.upf
ATOMIC_POSITIONS angstrom
Ca -4.5699 -3.6361 1.4382
Ag 0.0000 0.0000 0.0000
Cl -2.2849 -1.8181 0.7191
Cl -6.8548 -5.4542 2.1574
CELL_PARAMETERS angstrom
-4.8774 -0.5553 -0.1340
-1.9460 -4.4567 -0.6830
-2.3163 -2.2602 3.6935
```


## CaAgCl2 (meta-GGA SCAN)

Data for CaAgCl2 at its PBEsol-relaxed geometry. Values from VASP.

Properties
The calculation puts the density of states at the Fermi level at 1.3 states/eV/f.u. The calculation puts the energy above the lowest structure with this stoichiometry at 0 meV/atom. Its formation energy without anion corrections is -1255.3 meV per atom.

```
&SYSTEM
  ibrav = 0, nat = 4, ntyp = 3
/
ATOMIC_SPECIES
Ca 40.08 Ca.upf
Ag 107.87 Ag.upf
Cl 35.45 Cl.upf
ATOMIC_POSITIONS angstrom
Ca 0.0000 2.5959 0.0000
Ag 1.9863 0.0000 0.0000
Cl 1.9863 2.5959 1.7337
Cl 0.0000 0.0000 3.1826
CELL_PARAMETERS angstrom
3.9726 0.0000 0.0000
0.0000 5.1917 0.0000
-1.9863 -2.5959 4.9163
```


## CaAg2Cl2 (meta-GGA SCAN)

Data for CaAg2Cl2 at its PBEsol-relaxed geometry. Values from VASP.

Properties
The calculation puts the density of states at the Fermi level at 0.7 states/eV/f.u. Its formation energy without anion corrections is -1081.1 meV per atom.

```
&SYSTEM
  ibrav = 0, nat = 5, ntyp = 3
/
ATOMIC_SPECIES
Ca 40.08 Ca.upf
Ag 107.87 Ag.upf
Cl 35.45 Cl.upf
ATOMIC_POSITIONS angstrom
Ca 0.0000 0.0000 0.0000
Ag 2.6827 4.0838 1.6874
Ag 0.8621 5.0931 0.1976
Cl -0.5188 2.0905 2.0504
Cl 4.0636 7.0864 -0.1654
CELL_PARAMETERS angstrom
-3.0923 1.7870 0.5913
0.5491 -0.2315 3.5708
6.0880 7.6214 -2.2771
```


## Ca2AgCl (meta-GGA SCAN)

Data for Ca2AgCl at its PBEsol-relaxed geometry. Values from VASP.

Properties
The calculation puts the density of states at the Fermi level at 2.3 states/eV/f.u. The calculation puts the energy above the lowest structure with this stoichiometry at 0 meV/atom. Its formation energy without anion corrections is -1028.5 meV per atom.

```
&SYSTEM
  ibrav = 0, nat = 4, ntyp = 3
/
ATOMIC_SPECIES
Ca 40.08 Ca.upf
Ag 107.87 Ag.upf
Cl 35.45 Cl.upf
ATOMIC_POSITIONS angstrom
Ca 5.9460 3.4329 5.7059
Ca 1.9820 1.1443 1.9780
Ag 3.9640 2.2886 3.8419
Cl 0.0000 0.0000 0.0000
CELL_PARAMETERS angstrom
3.9640 0.0000 0.0000
1.9820 3.4329 0.0000
1.9820 1.1443 7.6839
```


## Ca2AgHgCl (meta-GGA SCAN)

Data for Ca2AgHgCl at its PBEsol-relaxed geometry. Values from VASP.

Properties
The calculation puts the density of states at the Fermi level at 2.7 states/eV/f.u. Its formation energy without anion corrections is -195.5 meV per atom.

```
&SYSTEM
  ibrav = 0, nat = 5, ntyp = 4
/
ATOMIC_SPECIES
Ca 40.08 Ca.upf
Hg 200.59 Hg.upf
Ag 107.87 Ag.upf
Cl 35.45 Cl.upf
ATOMIC_POSITIONS angstrom
Ca -1.6545 2.1106 0.9381
Ca 0.0930 -1.0921 2.6212
Hg -3.5943 -0.3530 3.0599
Ag 0.0000 0.0000 0.0000
Cl -2.0328 -1.3715 -0.4994
CELL_PARAMETERS angstrom
-4.0656 -2.7431 -0.9987
0.1859 -2.1842 5.2424
-3.3090 4.2213 1.8761
```


## CaAgN2Cl (meta-GGA SCAN)

Data for CaAgN2Cl at its PBEsol-relaxed geometry. Values from VASP.

Properties
The calculation puts the density of states at the Fermi level at 1.8 states/eV/f.u. Its formation energy without anion corrections is 524.3 meV per atom.

```
&SYSTEM
  ibrav = 0, nat = 5, ntyp = 4
/
ATOMIC_SPECIES
Ca 40.08 Ca.upf
N 14.01 N.upf
Ag 107.87 Ag.upf
Cl 35.45 Cl.upf
ATOMIC_POSITIONS angstrom
Ca 0.0000 0.0000 2.9393
N 0.0000 1.9879 0.0000
N 1.9879 0.0000 0.0000
Ag 0.0000 0.0000 0.0000
Cl 1.9879 1.9879 2.9393
CELL_PARAMETERS angstrom
3.9757 0.0000 0.0000
0.0000 3.9757 0.0000
0.0000 0.0000 5.8787
```


## CaNb2AgCl (meta-GGA SCAN)

Data for CaNb2AgCl at its PBEsol-relaxed geometry. Values from VASP.

Properties
The calculation puts the density of states at the Fermi level at 4.2 states/eV/f.u. Its formation energy without anion corrections is 457.7 meV per atom.

```
&SYSTEM
  ibrav = 0, nat = 5, ntyp = 4
/
ATOMIC_SPECIES
Nb 92.91 Nb.upf
Ca 40.08 Ca.upf
Ag 107.87 Ag.upf
Cl 35.45 Cl.upf
ATOMIC_POSITIONS angstrom
Nb -0.2898 -2.2177 -0.3746
Nb -2.0287 0.4208 -0.9219
Ca -1.0871 -0.2433 2.2811
Ag -3.4056 -2.0402 0.9846
Cl 0.0000 0.0000 0.0000
CELL_PARAMETERS angstrom
-4.0573 0.8416 -1.8439
-0.5795 -4.4354 -0.7493
-2.1743 -0.4866 4.5623
```


## CaCoAg3 (meta-GGA SCAN)

Data for CaCoAg3 at its PBEsol-relaxed geometry. Values from VASP.

Properties
The calculation puts the density of states at the Fermi level at 4.2 states/eV/f.u. The formation energy is 1.885 eV per formula unit.

```
&SYSTEM
  ibrav = 0, nat = 5, ntyp = 3
/
ATOMIC_SPECIES
Ca 40.08 Ca.upf
Co 58.93 Co.upf
Ag 107.87 Ag.upf
ATOMIC_POSITIONS angstrom
Ca 2.3807 2.3807 2.3807
Co 0.0000 0.0000 0.0000
Ag 0.0000 2.3807 0.0000
Ag 0.0000 0.0000 2.3807
Ag 2.3807 0.0000 0.0000
CELL_PARAMETERS angstrom
4.7614 0.0000 0.0000
0.0000 4.7614 0.0000
0.0000 0.0000 4.7614
```


## CaCoAg2 (meta-GGA SCAN)

Data for CaCoAg2 at its PBEsol-relaxed geometry. Values from VASP.

Properties
The calculation puts the density of states at the Fermi level at 2.0 states/eV/f.u. The formation energy is 2.071 eV per formula unit. The calculation puts the energy above the lowest structure with this stoichiometry at 359 meV/atom.

```
&SYSTEM
  ibrav = 0, nat = 4, ntyp = 3
/
ATOMIC_SPECIES
Ca 40.08 Ca.upf
Co 58.93 Co.upf
Ag 107.87 Ag.upf
ATOMIC_POSITIONS angstrom
Ca 2.9693 1.7143 4.6168
Co 0.0000 0.0000 0.0000
Ag 1.4847 0.8572 2.0493
Ag 4.4540 2.5715 7.1844
CELL_PARAMETERS angstrom
2.9693 0.0000 0.0000
1.4847 2.5715 0.0000
1.4847 0.8572 9.2337
```


## CaCoAg2 (meta-GGA SCAN)

Data for CaCoAg2 at its PBEsol-relaxed geometry. Values from VASP.

Properties
The calculation puts the density of states at the Fermi level at 2.0 states/eV/f.u. The formation energy is 0.634 eV per formula unit. The calculation puts the energy above the lowest structure with this stoichiometry at 0 meV/atom.

```
&SYSTEM
  ibrav = 0, nat = 4, ntyp = 3
/
ATOMIC_SPECIES
Ca 40.08 Ca.upf
Co 58.93 Co.upf
Ag 107.87 Ag.upf
ATOMIC_POSITIONS angstrom
Ca -2.1939 0.2309 2.4346
Co -4.9926 -0.8060 2.4375
Ag -4.1786 0.4398 4.6373
Ag -2.5036 -1.0680 -0.3246
CELL_PARAMETERS angstrom
-2.1796 1.0278 -2.0615
-1.0164 -3.3543 -0.5977
-4.2691 0.4493 4.7376
```


## CaCoAg2 (meta-GGA SCAN)

Data for CaCoAg2 at its PBEsol-relaxed geometry. Values from VASP.

Properties
The calculation puts the density of states at the Fermi level at 1.7 states/eV/f.u. The formation energy is 0.636 eV per formula unit. The calculation puts the energy above the lowest structure with this stoichiometry at 0 meV/atom.

```
&SYSTEM
  ibrav = 0, nat = 4, ntyp = 3
/
ATOMIC_SPECIES
Ca 40.08 Ca.upf
Co 58.93 Co.upf
Ag 107.87 Ag.upf
ATOMIC_POSITIONS angstrom
Ca -3.2584 -1.5254 -4.3985
Co -1.6292 -0.7627 -2.1993
Ag 0.0000 0.0000 0.0000
Ag -4.8876 -2.2881 -6.5978
CELL_PARAMETERS angstrom
-2.3973 1.5522 -3.6566
-0.1691 -2.5103 -3.8984
-3.9503 -2.0927 -1.2421
```


## CaCrAg2 (meta-GGA SCAN)

Data for CaCrAg2 at its PBEsol-relaxed geometry. Values from VASP.

Properties
The calculation puts the density of states at the Fermi level at 2.2 states/eV/f.u. The formation energy is 0.123 eV per formula unit.

```
&SYSTEM
  ibrav = 0, nat = 4, ntyp = 3
/
ATOMIC_SPECIES
Cr 52.00 Cr.upf
Ca 40.08 Ca.upf
Ag 107.87 Ag.upf
ATOMIC_POSITIONS angstrom
Cr 1.6893 1.7367 0.0116
Ca 1.6672 1.7367 3.3883
Ag 3.3692 0.0000 1.4465
Ag -0.0348 0.0000 5.3300
CELL_PARAMETERS angstrom
3.3787 0.0000 0.0232
0.0000 3.4735 0.0000
-0.0442 0.0000 6.7533
```


Q: What is the formula in the eleventh record?
A: CaCoAg2